No. 1
The following is a PBE calculation of an optimized crystal structure of La3Al4Hg2, from Alexandria.

Unit cell a=11.385 b=4.729 c=9.023 alpha=90.00 beta=110.59 gamma=90.00
Space group C2/m (No. 12)
Asymmetric unit:
La (0.000, 0.000, 0.000)
La (0.175, 0.500, 0.664)
Al (0.027, 0.000, 0.370)
Al (0.234, 0.500, 0.064)
Hg (0.097, 0.500, 0.268)

=====

No. 2
The following is a PBE calculation of an optimized crystal structure of La4Al3Hg, from Alexandria.

Unit cell a=5.4238 b=5.4238 c=26.6308 alpha=90.00 beta=90.00 gamma=120.00
Space group R-3m (No. 166, hexagonal axes)
Asymmetric unit:
La (0.0000, 0.0000, 0.1232)
La (0.0000, 0.0000, 0.3735)
Al (0.0000, 0.0000, 0.0000)
Al (0.0000, 0.0000, 0.2495)
Hg (0.0000, 0.0000, 0.5000)

=====

No. 3
The following is a PBE calculation of an optimized crystal structure of La8Al2Hg, from Alexandria.

Unit cell a=5.163 b=8.956 c=15.016 alpha=90.00 beta=90.00 gamma=90.00
Space group Immm (No. 71)
Asymmetric unit:
La (0.000, 0.000, 0.148)
La (0.000, 0.219, 0.345)
La (0.000, 0.334, 0.000)
Al (0.000, 0.500, 0.199)
Hg (0.000, 0.500, 0.500)

=====

No. 4
The following is a PBE calculation of an optimized crystal structure of La6AlHg3, from Alexandria.

Unit cell a=9.602 b=5.498 c=11.993 alpha=90.00 beta=107.71 gamma=90.00
Space group P2_1/m (No. 11)
Asymmetric unit:
La (0.034, 0.250, 0.394)
La (0.134, 0.750, 0.204)
La (0.256, 0.250, 0.987)
La (0.348, 0.750, 0.825)
La (0.409, 0.250, 0.277)
La (0.445, 0.250, 0.596)
Al (0.435, 0.750, 0.123)
Hg (0.037, 0.750, 0.913)
Hg (0.162, 0.250, 0.690)
Hg (0.248, 0.750, 0.501)

=====

No. 5
The following is a PBE calculation of an optimized crystal structure of La3Al2Hg, from Alexandria.

Unit cell a=3.772 b=3.772 c=11.898 alpha=90.00 beta=90.00 gamma=90.00
Space group P4/mmm (No. 123)
Asymmetric unit:
La (0.000, 0.000, 0.000)
La (0.000, 0.000, 0.322)
Al (0.500, 0.500, 0.164)
Hg (0.500, 0.500, 0.500)

=====

No. 6
The following is a PBE calculation of an optimized crystal structure of LaAlHg2, from Alexandria.

Unit cell a=7.300 b=7.431 c=4.923 alpha=90.00 beta=131.63 gamma=90.00
Space group C2 (No. 5)
Asymmetric unit:
La (0.000, 0.000, 0.000)
Al (0.000, 0.731, 0.500)
Hg (0.000, 0.271, 0.500)
Hg (0.000, 0.525, 0.000)

=====

Number 1: energy relative to the elements -0.47 eV per atom, calculated volume 454.8 Å³/cell. Number 2: energy relative to the elements -0.37 eV per atom, calculated volume 678.4 Å³/cell. Number 3: energy relative to the elements -0.18 eV per atom, calculated volume 694.3 Å³/cell. Number 4: energy relative to the elements -0.35 eV per atom, calculated volume 603.2 Å³/cell. Number 5: energy relative to the elements -0.41 eV per atom, calculated volume 169.3 Å³/cell. Number 6: energy relative to the elements -0.27 eV per atom, calculated volume 199.6 Å³/cell.